Here is a relaxed structure of Rb2DyMg2Se4 from the Alexandria database. Energies are from PBE-GGA.

Summary:
DFT total energy: -35.28 eV per formula unit

CIF file:
```
data_Rb2DyMg2Se4
_chemical_formula_sum 'Rb4 Dy2 Mg4 Se8'
_space_group_name_H-M_alt 'C 1 2/m 1'
_space_group_IT_number 12
_space_group_name_Hall '-C 2y'
_cell_length_a 16.0613
_cell_length_b 4.2653
_cell_length_c 8.3011
_cell_angle_alpha 90.00
_cell_angle_beta 107.62
_cell_angle_gamma 90.00
loop_
_atom_site_label
_atom_site_type_symbol
_atom_site_fract_x
_atom_site_fract_y
_atom_site_fract_z
Rb1 Rb 0.1257 0.0000 0.0406
Dy1 Dy 0.0000 0.0000 0.5000
Mg1 Mg 0.1712 0.5000 0.4773
Se1 Se 0.0178 0.5000 0.2687
Se2 Se 0.2005 0.0000 0.6695
```